Record 1
Below is La3Nd6ErTm2 after structural relaxation, with properties calculated at the PBE-GGA level.

Computed properties:
Its crystal system is monoclinic.

Unit cell a=6.3378 b=6.3378 c=12.0621 alpha=95.03 beta=95.03 gamma=120.05
Fractional coordinates of all 12 atoms:
La  0.1670  0.8330  0.5000
La  0.8330  0.1670  0.5000
La  0.5000  0.5000  0.5000
Nd  0.9189  0.5854  0.7578
Nd  0.7476  0.7476  0.2423
Nd  0.0811  0.4146  0.2422
Nd  0.5854  0.9189  0.7578
Nd  0.2524  0.2524  0.7577
Nd  0.4146  0.0811  0.2422
Er  0.0000  0.0000  0.0000
Tm  0.3334  0.6666  0.0000
Tm  0.6666  0.3334  0.0000

=====

Record 2
Below is LaNd6Er3Tm2 after structural relaxation, with properties calculated at the PBE-GGA level.

Computed properties:
Its crystal system is monoclinic.

Unit cell a=6.2711 b=6.2711 c=11.8862 alpha=95.04 beta=95.04 gamma=120.01
Fractional coordinates of all 12 atoms:
La  0.0000  0.0000  0.0000
Nd  0.9157  0.5812  0.7476
Nd  0.7499  0.7499  0.2526
Nd  0.0843  0.4188  0.2524
Nd  0.5812  0.9157  0.7476
Nd  0.2501  0.2501  0.7474
Nd  0.4188  0.0843  0.2524
Er  0.1672  0.8328  0.5000
Er  0.8328  0.1672  0.5000
Er  0.5000  0.5000  0.5000
Tm  0.3335  0.6665  0.0000
Tm  0.6665  0.3335  0.0000

=====

Record 3
Below is LaNdEr2Tm after structural relaxation, with properties calculated at the PBE-GGA level.

Computed properties:
Its crystal system is orthorhombic.

Unit cell a=5.5935 b=8.5966 c=7.2346 alpha=90.05 beta=90.00 gamma=90.00
Fractional coordinates of all 10 atoms:
La  0.0000  0.0000  0.0000
La  0.0000  0.0000  0.5000
Nd  0.0002  0.5000  0.7500
Nd  0.9998  0.5000  0.2500
Er  0.4998  0.6831  0.0001
Er  0.4998  0.3169  0.4999
Er  0.5002  0.6831  0.5001
Er  0.5002  0.3169  0.9999
Tm  0.5001  0.0000  0.2500
Tm  0.4999  0.0000  0.7500

=====

Calculated energy of formation, 22; 19; 232 meV/atom (same order as the records).